(1)
VASP calculation (PBE) on a geometry-optimized Ac4Hg3Au5 structure.

SG	C2/m
raw total energy	-39.84	eV per cell
calculated volume	31.47	A^3/atom

a = 5.1688 Å, b = 5.9332 Å, c = 18.2499 Å
α = 121.35°, β = 81.86°, γ = 64.18°
Closest atoms and distances in Å follow each position.
Positions (direct):
Ac 0.0302 0.0369 0.9028  6 Au 3.11-3.44, 1 Hg 3.47
Ac 0.0571 0.1842 0.7016  2 Au 3.04-3.06, 3 Hg 3.37-3.38
Ac 0.9429 0.8158 0.2984  2 Au 3.04-3.06, 3 Hg 3.37-3.38
Ac 0.9698 0.9631 0.0972  6 Au 3.11-3.44, 1 Hg 3.47
Hg 0.4504 0.4501 0.6490  1 Au 2.87
Hg 0.0000 0.5000 0.5000  2 Au 2.58
Hg 0.5496 0.5499 0.3510  1 Au 2.87
Au 0.5681 0.7081 0.1557  2 Au 3.00
Au 0.5000 0.5000 0.5000  4 Hg 2.58-2.87
Au 0.2954 0.3342 0.0750  3 Au 2.73-3.00
Au 0.7046 0.6658 0.9250  3 Au 2.73-3.00
Au 0.4319 0.2919 0.8443  2 Au 3.00

=====

(2)
VASP calculation (PBE) on a geometry-optimized SrLa2CuIr structure.

SG	P4/mmm
raw total energy	-25.01	eV per cell
calculated volume	31.92	A^3/atom

a = 5.5418 Å, b = 5.5418 Å, c = 5.1962 Å
α = 90.00°, β = 90.00°, γ = 90.00°
Closest atoms and distances in Å follow each position.
Positions (direct):
Sr 0.5000 0.5000 0.5000  8 La 3.80, 4 Cu 3.92
Ir 0.0000 0.0000 0.0000  2 Cu 2.60, 4 La 2.77
Cu 0.0000 0.0000 0.5000  2 Ir 2.60
La 0.0000 0.5000 0.0000  2 Ir 2.77
La 0.5000 0.0000 0.0000  2 Ir 2.77

=====

(3)
VASP calculation (PBE) on a geometry-optimized CaRu4W structure.

SG	F-43m
raw total energy	-50.02	eV per cell
calculated volume	16.30	A^3/atom

a = 5.1716 Å, b = 5.1716 Å, c = 5.1716 Å
α = 60.00°, β = 60.00°, γ = 60.00°
Closest atoms and distances in Å follow each position.
Positions (direct):
Ca 0.0000 0.0000 0.0000  12 Ru 3.03, 4 W 3.17
Ru 0.8750 0.3750 0.3750  6 Ru 2.59
Ru 0.3750 0.3750 0.8750  6 Ru 2.59
Ru 0.3750 0.8750 0.3750  6 Ru 2.59
Ru 0.3750 0.3750 0.3750  6 Ru 2.59
W 0.7500 0.7500 0.7500  12 Ru 3.03, 4 Ca 3.17

=====

| no. | calculated density (Mg/m³) | formation enthalpy at 0 K (eV per atom) | density of states at the Fermi level (states/eV/f.u.) |
| --- | --- | --- | --- |
| 1 | 11.0 | -0.510 | 7.5 |
| 2 | 6.5 | -0.103 | 4.8 |
| 3 | 10.7 | 0.339 | 7.4 |